No. 1
{
  "formula": "Sr3Al4Pt4",
  "functional": "PBE-GGA",
  "state": "relaxed",
  "lattice": [[-4.578, -4.427, -2.505], [2.101, -2.129, 6.155], [-2.885, 6.178, 0.586]],
  "species": ["Al", "Al", "Al", "Al", "Sr", "Sr", "Sr", "Pt", "Pt", "Pt", "Pt"],
  "frac_coords": [[0.000, 0.257, 0.000], [0.000, 0.000, 0.257], [0.257, 0.000, 0.000], [0.743, 0.743, 0.743], [0.000, 0.500, 0.500], [0.500, 0.500, 0.000], [0.500, 0.000, 0.500], [0.625, 0.000, 0.000], [0.375, 0.375, 0.375], [0.000, 0.000, 0.625], [0.000, 0.625, 0.000]],
  "formation_enthalpy_0k_mev_per_atom": -917,
  "space_group": "I-43m (217)",
  "e_tot_ev_per_atom": -4.93
}


No. 2
{
  "formula": "Sr2Al7Pt",
  "functional": "PBE-GGA",
  "state": "relaxed",
  "lattice": [[-2.038, 3.571, 1.289], [-1.377, -2.059, 3.526], [9.435, 3.349, 5.641]],
  "species": ["Al", "Al", "Al", "Al", "Al", "Al", "Al", "Pt", "Sr", "Sr"],
  "frac_coords": [[0.500, 0.000, 0.127], [0.000, 0.000, 0.000], [0.500, 0.500, 0.500], [0.500, 0.000, 0.360], [0.000, 0.500, 0.640], [0.000, 0.000, 0.500], [0.000, 0.500, 0.873], [0.500, 0.500, 0.000], [0.500, 0.000, 0.754], [0.000, 0.500, 0.246]],
  "formation_enthalpy_0k_mev_per_atom": -408,
  "space_group": "P-4m2 (115)",
  "e_tot_ev_per_atom": -3.97
}


No. 3
{
  "formula": "Sr2Al5Pt4",
  "functional": "PBE-GGA",
  "state": "relaxed",
  "lattice": [[5.298, 0.000, 2.529], [2.649, 5.602, 1.265], [-0.363, 0.000, 7.575]],
  "species": ["Pt", "Pt", "Pt", "Pt", "Sr", "Sr", "Al", "Al", "Al", "Al", "Al"],
  "frac_coords": [[0.222, 0.299, 0.257], [0.778, 0.701, 0.743], [0.521, 0.701, 0.257], [0.479, 0.299, 0.743], [0.154, 0.000, 0.691], [0.846, 0.000, 0.309], [0.250, 0.500, 0.500], [0.000, 0.500, 0.000], [0.500, 0.000, 0.000], [0.750, 0.500, 0.500], [0.500, 0.500, 0.000]],
  "formation_enthalpy_0k_mev_per_atom": -887,
  "space_group": "Fmmm (69)",
  "e_tot_ev_per_atom": -5.09
}


No. 4
{
  "formula": "Sr3Al2Pt2",
  "functional": "PBE-GGA",
  "state": "relaxed",
  "lattice": [[6.252, 0.000, 0.000], [0.000, 8.259, 0.000], [0.000, 0.000, 14.195]],
  "species": ["Sr", "Sr", "Sr", "Sr", "Sr", "Sr", "Sr", "Sr", "Sr", "Sr", "Sr", "Sr", "Pt", "Pt", "Pt", "Pt", "Pt", "Pt", "Pt", "Pt", "Al", "Al", "Al", "Al", "Al", "Al", "Al", "Al"],
  "frac_coords": [[0.140, 0.893, 0.902], [0.140, 0.607, 0.402], [0.638, 0.731, 0.750], [0.860, 0.107, 0.098], [0.860, 0.107, 0.402], [0.362, 0.269, 0.250], [0.860, 0.393, 0.598], [0.140, 0.893, 0.598], [0.140, 0.607, 0.098], [0.362, 0.231, 0.750], [0.860, 0.393, 0.902], [0.638, 0.769, 0.250], [0.632, 0.027, 0.593], [0.632, 0.473, 0.093], [0.368, 0.527, 0.593], [0.368, 0.973, 0.093], [0.368, 0.527, 0.907], [0.368, 0.973, 0.407], [0.632, 0.473, 0.407], [0.632, 0.027, 0.907], [0.173, 0.918, 0.250], [0.404, 0.250, 0.000], [0.827, 0.082, 0.750], [0.827, 0.418, 0.250], [0.596, 0.750, 0.000], [0.596, 0.750, 0.500], [0.173, 0.582, 0.750], [0.404, 0.250, 0.500]],
  "formation_enthalpy_0k_mev_per_atom": -729,
  "space_group": "Pbcm (57)",
  "e_tot_ev_per_atom": -4.25
}


No. 5
{
  "formula": "SrAl11Pt",
  "functional": "PBE-GGA",
  "state": "relaxed",
  "lattice": [[4.826, -0.065, 2.011], [2.291, 6.942, 0.954], [-0.059, -0.032, 6.940]],
  "species": ["Al", "Al", "Al", "Al", "Al", "Al", "Al", "Al", "Al", "Al", "Al", "Sr", "Pt"],
  "frac_coords": [[0.351, 0.642, 0.646], [0.498, 0.232, 0.778], [0.000, 0.000, 0.500], [0.276, 0.232, 0.222], [0.003, 0.358, 0.646], [0.500, 0.000, 0.500], [0.649, 0.358, 0.354], [0.502, 0.768, 0.222], [0.724, 0.768, 0.778], [0.997, 0.642, 0.354], [0.000, 0.500, 0.000], [0.000, 0.000, 0.000], [0.500, 0.500, 0.000]],
  "formation_enthalpy_0k_mev_per_atom": -243,
  "space_group": "C2/m (12)",
  "e_tot_ev_per_atom": -4.00
}


No. 6
{
  "formula": "SrAl3Pt2",
  "functional": "PBE-GGA",
  "state": "relaxed",
  "lattice": [[-1.267, 1.854, -3.611], [-5.950, -6.054, 1.482], [-2.915, 8.323, 5.296]],
  "species": ["Al", "Al", "Al", "Al", "Al", "Al", "Al", "Al", "Al", "Sr", "Sr", "Sr", "Pt", "Pt", "Pt", "Pt", "Pt", "Pt"],
  "frac_coords": [[0.500, 0.000, 0.500], [0.630, 0.260, 0.207], [0.785, 0.571, 0.603], [0.675, 0.350, 0.968], [0.955, 0.911, 0.644], [0.370, 0.740, 0.793], [0.325, 0.650, 0.032], [0.045, 0.089, 0.356], [0.215, 0.429, 0.397], [0.841, 0.682, 0.292], [0.159, 0.318, 0.708], [0.000, 0.000, 0.000], [0.475, 0.949, 0.227], [0.525, 0.051, 0.773], [0.639, 0.278, 0.451], [0.195, 0.391, 0.131], [0.805, 0.609, 0.869], [0.361, 0.722, 0.549]],
  "formation_enthalpy_0k_mev_per_atom": -902,
  "space_group": "C2/m (12)",
  "e_tot_ev_per_atom": -5.07
}


No. 7
{
  "formula": "SrAl2Pt",
  "functional": "PBE-GGA",
  "state": "relaxed",
  "lattice": [[5.654, 0.014, 0.000], [-2.731, 4.951, 0.000], [0.000, 0.000, 2.970]],
  "species": ["Sr", "Pt", "Al", "Al"],
  "frac_coords": [[0.000, 0.500, 0.500], [0.500, 0.000, 0.500], [0.500, 0.500, 0.000], [0.000, 0.000, 0.000]],
  "formation_enthalpy_0k_mev_per_atom": -1,
  "space_group": "Cmmm (65)",
  "e_tot_ev_per_atom": -3.80
}


No. 8
{
  "formula": "SrAl2Pt",
  "functional": "PBE-GGA",
  "state": "relaxed",
  "lattice": [[3.289, 0.000, 0.000], [0.000, 3.285, 0.000], [0.000, 0.000, 7.696]],
  "species": ["Al", "Al", "Pt", "Sr"],
  "frac_coords": [[0.000, 0.000, 0.071], [0.000, 0.000, 0.429], [0.500, 0.500, 0.250], [0.500, 0.500, 0.750]],
  "formation_enthalpy_0k_mev_per_atom": -509,
  "space_group": "P4/mmm (123)",
  "e_tot_ev_per_atom": -4.31
}


No. 9
{
  "formula": "SrAl2Pt",
  "functional": "PBE-GGA",
  "state": "relaxed",
  "lattice": [[-2.871, -2.682, -1.658], [1.930, -0.100, -3.181], [4.158, -4.813, 0.587]],
  "species": ["Al", "Al", "Pt", "Sr"],
  "frac_coords": [[0.000, 0.987, 0.141], [0.500, 0.443, 0.230], [0.000, 0.351, 0.424], [0.500, 0.718, 0.705]],
  "formation_enthalpy_0k_mev_per_atom": -477,
  "space_group": "Pm (6)",
  "e_tot_ev_per_atom": -4.28
}


No. 10
{
  "formula": "SrAl3Pt",
  "functional": "PBE-GGA",
  "state": "relaxed",
  "lattice": [[5.604, 0.000, 0.000], [0.000, 5.604, 0.000], [0.000, 0.000, 5.604]],
  "species": ["Pt", "Al", "Al", "Al", "Sr"],
  "frac_coords": [[0.500, 0.500, 0.500], [0.500, 0.000, 0.000], [0.000, 0.500, 0.000], [0.000, 0.000, 0.500], [0.000, 0.000, 0.000]],
  "formation_enthalpy_0k_mev_per_atom": 1826,
  "space_group": "Pm-3m (221)",
  "e_tot_ev_per_atom": -1.96
}


No. 11
{
  "formula": "SrAl3Pt2",
  "functional": "PBE-GGA",
  "state": "relaxed",
  "lattice": [[-3.732, 0.526, -2.045], [-1.808, -1.485, 7.416], [1.777, 7.986, -1.189]],
  "species": ["Sr", "Sr", "Al", "Al", "Al", "Al", "Al", "Al", "Pt", "Pt", "Pt", "Pt"],
  "frac_coords": [[0.850, 0.699, 0.920], [0.150, 0.301, 0.080], [0.678, 0.357, 0.439], [0.612, 0.225, 0.710], [0.019, 0.038, 0.345], [0.388, 0.775, 0.290], [0.322, 0.643, 0.561], [0.981, 0.962, 0.655], [0.168, 0.335, 0.626], [0.832, 0.665, 0.374], [0.485, 0.969, 0.823], [0.515, 0.031, 0.177]],
  "formation_enthalpy_0k_mev_per_atom": -892,
  "space_group": "C2/m (12)",
  "e_tot_ev_per_atom": -5.06
}


No. 12
{
  "formula": "SrAl2Pt",
  "functional": "PBE-GGA",
  "state": "relaxed",
  "lattice": [[6.209, 0.003, 0.002], [4.686, 4.074, 0.002], [4.686, 1.754, 3.677]],
  "species": ["Al", "Al", "Pt", "Sr"],
  "frac_coords": [[0.448, 0.448, 0.448], [0.052, 0.052, 0.052], [0.750, 0.750, 0.750], [0.250, 0.250, 0.250]],
  "formation_enthalpy_0k_mev_per_atom": -738,
  "space_group": "R-3m (166)",
  "e_tot_ev_per_atom": -4.54
}


No. 13
{
  "formula": "SrAl9Pt2",
  "functional": "PBE-GGA",
  "state": "relaxed",
  "lattice": [[6.681, 0.000, 3.076], [3.341, 7.589, 1.538], [0.167, 0.000, 8.431]],
  "species": ["Al", "Al", "Al", "Al", "Al", "Al", "Al", "Al", "Al", "Al", "Al", "Al", "Al", "Al", "Al", "Al", "Al", "Al", "Pt", "Pt", "Pt", "Pt", "Sr", "Sr"],
  "frac_coords": [[0.145, 0.175, 0.420], [0.739, 0.580, 0.825], [0.436, 0.420, 0.825], [0.681, 0.175, 0.580], [0.681, 0.580, 0.175], [0.011, 0.920, 0.675], [0.314, 0.080, 0.675], [0.011, 0.675, 0.920], [0.000, 0.000, 0.000], [0.145, 0.420, 0.175], [0.314, 0.675, 0.080], [0.739, 0.825, 0.580], [0.750, 0.500, 0.500], [0.069, 0.920, 0.325], [0.605, 0.325, 0.080], [0.069, 0.325, 0.920], [0.605, 0.080, 0.325], [0.436, 0.825, 0.420], [0.375, 0.750, 0.750], [0.875, 0.750, 0.250], [0.875, 0.250, 0.750], [0.875, 0.250, 0.250], [0.500, 0.000, 0.000], [0.250, 0.500, 0.500]],
  "formation_enthalpy_0k_mev_per_atom": -515,
  "space_group": "I4_1/amd (141)",
  "e_tot_ev_per_atom": -4.47
}


No. 14
{
  "formula": "SrAl2Pt8",
  "functional": "PBE-GGA",
  "state": "relaxed",
  "lattice": [[5.300, 0.000, 0.000], [0.000, 5.300, 0.000], [0.000, 0.000, 8.705]],
  "species": ["Pt", "Pt", "Pt", "Pt", "Pt", "Pt", "Pt", "Pt", "Sr", "Al", "Al"],
  "frac_coords": [[0.752, 0.248, 0.797], [0.752, 0.752, 0.203], [0.752, 0.248, 0.203], [0.752, 0.752, 0.797], [0.248, 0.248, 0.797], [0.248, 0.752, 0.203], [0.248, 0.248, 0.203], [0.248, 0.752, 0.797], [0.500, 0.500, 0.500], [0.000, 0.500, 0.000], [0.500, 0.000, 0.000]],
  "formation_enthalpy_0k_mev_per_atom": -354,
  "space_group": "P4/mmm (123)",
  "e_tot_ev_per_atom": -5.58
}


No. 15
{
  "formula": "SrAl2Pt",
  "functional": "PBE-GGA",
  "state": "relaxed",
  "lattice": [[-3.581, 2.529, -0.300], [-1.836, 0.749, -3.921], [-5.098, -3.478, -0.748]],
  "species": ["Al", "Al", "Sr", "Pt"],
  "frac_coords": [[0.051, 0.051, 0.847], [0.776, 0.776, 0.672], [0.245, 0.245, 0.266], [0.428, 0.428, 0.716]],
  "formation_enthalpy_0k_mev_per_atom": -755,
  "space_group": "Cm (8)",
  "e_tot_ev_per_atom": -4.56
}


No. 16
{
  "formula": "Sr2AlPt",
  "functional": "PBE-GGA",
  "state": "relaxed",
  "lattice": [[-1.079, -2.485, -5.633], [-4.115, -3.431, -3.220], [-3.354, 2.774, -3.133]],
  "species": ["Sr", "Sr", "Al", "Pt"],
  "frac_coords": [[0.769, 0.769, 0.730], [0.969, 0.969, 0.031], [0.565, 0.565, 0.435], [0.196, 0.196, 0.304]],
  "formation_enthalpy_0k_mev_per_atom": -514,
  "space_group": "Imm2 (44)",
  "e_tot_ev_per_atom": -3.80
}


No. 17
{
  "formula": "SrAl12Pt4",
  "functional": "PBE-GGA",
  "state": "relaxed",
  "lattice": [[7.701, 0.000, 0.000], [-2.567, 7.260, 0.000], [-2.567, -3.630, 6.288]],
  "species": ["Al", "Al", "Al", "Al", "Al", "Al", "Al", "Al", "Al", "Al", "Al", "Al", "Pt", "Pt", "Pt", "Pt", "Sr"],
  "frac_coords": [[0.654, 0.825, 0.171], [0.346, 0.518, 0.171], [0.518, 0.171, 0.346], [0.175, 0.829, 0.346], [0.171, 0.346, 0.518], [0.829, 0.654, 0.482], [0.829, 0.346, 0.175], [0.171, 0.654, 0.825], [0.482, 0.829, 0.654], [0.825, 0.171, 0.654], [0.654, 0.482, 0.829], [0.346, 0.175, 0.829], [0.000, 0.000, 0.500], [0.500, 0.000, 0.000], [0.500, 0.500, 0.500], [0.000, 0.500, 0.000], [0.000, 0.000, 0.000]],
  "formation_enthalpy_0k_mev_per_atom": -341,
  "space_group": "Im-3 (204)",
  "e_tot_ev_per_atom": -4.50
}


No. 18
{
  "formula": "Sr2AlPt",
  "functional": "PBE-GGA",
  "state": "relaxed",
  "lattice": [[-1.801, -3.340, 10.623], [11.118, -1.139, 1.527], [4.791, 0.048, 6.817]],
  "species": ["Pt", "Pt", "Sr", "Sr", "Sr", "Sr", "Al", "Al"],
  "frac_coords": [[0.750, 0.250, 0.500], [0.000, 0.000, 0.000], [0.375, 0.203, 0.750], [0.797, 0.125, 0.250], [0.953, 0.625, 0.250], [0.875, 0.047, 0.750], [0.500, 0.500, 0.000], [0.250, 0.750, 0.500]],
  "formation_enthalpy_0k_mev_per_atom": -500,
  "space_group": "I-42d (122)",
  "e_tot_ev_per_atom": -3.79
}


No. 19
{
  "formula": "SrAl2Pt6",
  "functional": "PBE-GGA",
  "state": "relaxed",
  "lattice": [[8.035, 0.000, 0.000], [4.018, 6.959, 0.000], [4.018, 2.320, 6.561]],
  "species": ["Pt", "Pt", "Pt", "Pt", "Pt", "Pt", "Pt", "Pt", "Pt", "Pt", "Pt", "Pt", "Al", "Al", "Al", "Al", "Sr", "Sr"],
  "frac_coords": [[0.246, 0.754, 0.754], [0.004, 0.496, 0.004], [0.246, 0.754, 0.246], [0.004, 0.496, 0.496], [0.496, 0.004, 0.004], [0.754, 0.246, 0.754], [0.496, 0.496, 0.004], [0.754, 0.246, 0.246], [0.754, 0.754, 0.246], [0.004, 0.004, 0.496], [0.496, 0.004, 0.496], [0.246, 0.246, 0.754], [0.625, 0.125, 0.125], [0.125, 0.125, 0.125], [0.125, 0.125, 0.625], [0.125, 0.625, 0.125], [0.500, 0.500, 0.500], [0.750, 0.750, 0.750]],
  "formation_enthalpy_0k_mev_per_atom": -435,
  "space_group": "Fd-3m (227)",
  "e_tot_ev_per_atom": -5.48
}


No. 20
{
  "formula": "Sr2AlPt",
  "functional": "PBE-GGA",
  "state": "relaxed",
  "lattice": [[-2.779, 3.055, 0.785], [-4.065, -0.532, -0.931], [-3.627, -2.443, 7.821]],
  "species": ["Sr", "Sr", "Al", "Pt"],
  "frac_coords": [[0.986, 0.986, 0.043], [0.514, 0.514, 0.457], [0.750, 0.750, 0.750], [0.250, 0.250, 0.250]],
  "formation_enthalpy_0k_mev_per_atom": -249,
  "space_group": "C2/m (12)",
  "e_tot_ev_per_atom": -3.54
}